K2Ge5Pt3 | GGA-PBE | optimized geometry

Electronic total energy ... -4.705 eV/atom
Magnetization ... 0.00 μB/cell
Energy of formation from the pure elements ... -35 kJ per mole of atoms
Space-group type ... No. 72

Cell: 6.274 8.814 8.814 Å, 72.07 69.15 69.15°
Atoms (fractional coordinates):
Ge 0.493 0.757 0.757
Ge 0.250 0.500 0.500
Pt 0.750 0.000 0.000
Ge 0.750 0.500 0.500
K 0.870 0.387 0.873
Ge 0.507 0.243 0.243
Pt 0.871 0.742 0.516
Pt 0.129 0.258 0.484
Ge 0.888 0.970 0.253
Ge 0.112 0.030 0.747
K 0.130 0.613 0.127
Ge 0.388 0.253 0.970
Ge 0.993 0.757 0.757
Pt 0.371 0.516 0.742
Pt 0.629 0.484 0.258
K 0.630 0.127 0.613
Pt 0.250 0.000 0.000
K 0.370 0.873 0.387
Ge 0.007 0.243 0.243
Ge 0.612 0.747 0.030

***

La8AsP3Br4 | GGA-PBE | optimized geometry

Electronic total energy ... -5.776 eV/atom
Magnetization ... 0.00 μB/cell
Space-group type ... No. 166

Cell: 8.586 8.837 8.585 Å, 119.06 120.00 90.00°
Atoms (fractional coordinates):
Br 0.000 0.000 0.000
La 0.728 0.710 0.969
La 0.241 0.710 0.969
Br 0.500 0.000 0.000
Br 0.500 0.000 0.500
La 0.241 0.710 0.483
La 0.736 0.707 0.472
P 0.000 0.500 0.500
P 0.500 0.500 0.500
As 0.000 0.500 0.000
La 0.759 0.290 0.031
Br 0.000 0.000 0.500
La 0.272 0.290 0.031
P 0.500 0.500 0.000
La 0.759 0.290 0.517
La 0.264 0.293 0.528

***

BaGa3Au2 | GGA-PBE | optimized geometry

Electronic total energy ... -3.359 eV/atom
Magnetization ... 0.00 μB/cell
Energy of formation from the pure elements ... -42 kJ per mole of atoms
Space-group type ... No. 191

Cell: 5.913 5.913 4.411 Å, 90.00 90.00 120.00°
Atoms (fractional coordinates):
Au 0.667 0.333 0.500
Ga 0.500 0.500 0.000
Au 0.333 0.667 0.500
Ga 0.500 0.000 0.000
Ba 0.000 0.000 0.500
Ga 0.000 0.500 0.000

***

AlSeN2O | GGA-PBE | optimized geometry

Electronic total energy ... -4.033 eV/atom
Magnetization ... 0.47 μB/cell
Space-group type ... No. 123

Cell: 3.843 3.843 3.916 Å, 90.00 90.00 90.00°
Atoms (fractional coordinates):
Al 0.500 0.500 0.500
N 0.500 0.000 0.000
N 0.000 0.500 0.000
O 0.000 0.000 0.000
Se 0.000 0.000 0.500